Entry 1:
# Sr2ZnCuH (PBE-GGA, relaxed)
# Offset from the most stable computed form, eV/atom: 0.057
# DOS(E_F), states/eV/cell: 2.429
# Energy, eV per atom: -2.51
data_Sr2ZnCuH
_cell_length_a 5.232
_cell_length_b 5.232
_cell_length_c 4.077
_cell_angle_alpha 90.00
_cell_angle_beta 90.00
_cell_angle_gamma 90.00
_space_group_name_H-M_alt 'P 4/m m m'
_space_group_IT_number 123
_space_group_name_Hall '-P 4 2'
loop_
_atom_site_label
_atom_site_type_symbol
_atom_site_fract_x
_atom_site_fract_y
_atom_site_fract_z
Sr1 Sr 0.000 0.500 0.000
Zn1 Zn 0.000 0.000 0.500
Cu1 Cu 0.500 0.500 0.500
H1 H 0.000 0.000 0.000


Entry 2:
# Ca2LaRe (PBE-GGA, relaxed)
# ΔE_f, eV per atom: 0.7500
# Offset from the most stable computed form, eV/atom: 0.345
# DOS(E_F), states/eV/cell: 10.014
# Energy, eV per atom: -4.59
data_Ca2LaRe
_cell_length_a 6.108
_cell_length_b 11.119
_cell_length_c 3.198
_cell_angle_alpha 90.00
_cell_angle_beta 105.84
_cell_angle_gamma 90.00
_space_group_name_H-M_alt 'C 1 2/m 1'
_space_group_IT_number 12
loop_
_space_group_symop_operation_xyz
'x,y,z'
'-x,-y,-z'
'-x,y,-z'
'x,-y,z'
'x+1/2,y+1/2,z'
'-x+1/2,-y+1/2,-z'
'-x+1/2,y+1/2,-z'
'x+1/2,-y+1/2,z'
loop_
_atom_site_label
_atom_site_type_symbol
_atom_site_fract_x
_atom_site_fract_y
_atom_site_fract_z
Ca1 Ca 0.250 0.250 0.000
La1 La 0.000 0.000 0.500
Re1 Re 0.000 0.500 0.500


Entry 3:
# Na2AsI (PBE-GGA, relaxed)
# Offset from the most stable computed form, eV/atom: 0.000
# DOS(E_F), states/eV/cell: 7.736
# Energy, eV per atom: -2.56
# Formation energy from raw total energies, eV/f.u.: -1.40
data_Na2AsI
_cell_length_a 8.419
_cell_length_b 8.419
_cell_length_c 6.435
_cell_angle_alpha 90.00
_cell_angle_beta 90.00
_cell_angle_gamma 90.00
_space_group_name_H-M_alt 'I -4 2 d'
_space_group_IT_number 122
_space_group_name_Hall 'I -4 2bw'
loop_
_atom_site_label
_atom_site_type_symbol
_atom_site_fract_x
_atom_site_fract_y
_atom_site_fract_z
Na1 Na 0.225 0.250 0.125
As1 As 0.000 0.000 0.000
I1 I 0.000 0.000 0.500


Entry 4:
# Sr2ZnRh (PBE-GGA, relaxed)
# ΔE_f, eV per atom: 0.0133
# DOS(E_F), states/eV/cell: 4.846
# Energy, eV per atom: -2.98
data_Sr2ZnRh
_cell_length_a 4.554
_cell_length_b 4.554
_cell_length_c 9.829
_cell_angle_alpha 90.00
_cell_angle_beta 90.00
_cell_angle_gamma 90.00
_space_group_name_H-M_alt 'I -4 m 2'
_space_group_IT_number 119
_space_group_name_Hall 'I -4 -2'
loop_
_atom_site_label
_atom_site_type_symbol
_atom_site_fract_x
_atom_site_fract_y
_atom_site_fract_z
Sr1 Sr 0.000 0.000 0.000
Sr2 Sr 0.000 0.500 0.250
Zn1 Zn 0.000 0.500 0.750
Rh1 Rh 0.000 0.000 0.500


Entry 5:
# AlGe2Pb (PBE-GGA, relaxed)
# ΔE_f, eV per atom: 0.2268
# Offset from the most stable computed form, eV/atom: 0.033
# DOS(E_F), states/eV/cell: 8.016
# Energy, eV per atom: -3.94
data_AlGe2Pb
_cell_length_a 5.940
_cell_length_b 5.940
_cell_length_c 12.841
_cell_angle_alpha 90.00
_cell_angle_beta 90.00
_cell_angle_gamma 90.00
_space_group_name_H-M_alt 'I -4 2 d'
_space_group_IT_number 122
_space_group_name_Hall 'I -4 2bw'
loop_
_atom_site_label
_atom_site_type_symbol
_atom_site_fract_x
_atom_site_fract_y
_atom_site_fract_z
Al1 Al 0.000 0.000 0.000
Ge1 Ge 0.211 0.250 0.125
Pb1 Pb 0.000 0.000 0.500


Entry 6:
# RbCaTa (PBE-GGA, relaxed)
# ΔE_f, eV per atom: 0.5579
# Offset from the most stable computed form, eV/atom: 0.160
# DOS(E_F), states/eV/cell: 5.518
# Energy, eV per atom: -4.38
data_RbCaTa
_cell_length_a 3.537
_cell_length_b 4.840
_cell_length_c 16.477
_cell_angle_alpha 90.80
_cell_angle_beta 95.31
_cell_angle_gamma 111.29
_space_group_name_H-M_alt 'P 1'
_space_group_IT_number 1
loop_
_space_group_symop_operation_xyz
'x,y,z'
loop_
_atom_site_label
_atom_site_type_symbol
_atom_site_fract_x
_atom_site_fract_y
_atom_site_fract_z
Rb1 Rb 0.000 0.000 0.000
Rb2 Rb 0.358 0.464 0.738
Ca1 Ca 0.307 0.560 0.225
Ca2 Ca 0.621 0.938 0.514
Ta1 Ta 0.094 0.026 0.352
Ta2 Ta 0.835 0.473 0.387


Entry 7:
# LiDy2Cd6 (PBE-GGA, relaxed)
# ΔE_f, eV per atom: -0.2112
# Offset from the most stable computed form, eV/atom: 0.045
# DOS(E_F), states/eV/cell: 8.265
# Energy, eV per atom: -2.06
data_LiDy2Cd6
_cell_length_a 12.050
_cell_length_b 6.555
_cell_length_c 5.275
_cell_angle_alpha 90.00
_cell_angle_beta 97.35
_cell_angle_gamma 90.00
_space_group_name_H-M_alt 'C 1 2/m 1'
_space_group_IT_number 12
loop_
_space_group_symop_operation_xyz
'x,y,z'
'-x,-y,-z'
'-x,y,-z'
'x,-y,z'
'x+1/2,y+1/2,z'
'-x+1/2,-y+1/2,-z'
'-x+1/2,y+1/2,-z'
'x+1/2,-y+1/2,z'
loop_
_atom_site_label
_atom_site_type_symbol
_atom_site_fract_x
_atom_site_fract_y
_atom_site_fract_z
Li1 Li 0.000 0.000 0.000
Dy1 Dy 0.145 0.500 0.204
Cd1 Cd 0.101 0.237 0.693
Cd2 Cd 0.195 0.000 0.254


Entry 8:
# Cr2CoPd9 (PBE-GGA, relaxed)
# ΔE_f, eV per atom: -0.0316
# DOS(E_F), states/eV/cell: 19.699
# Energy, eV per atom: -6.12
data_Cr2CoPd9
_cell_length_a 3.890
_cell_length_b 3.890
_cell_length_c 11.727
_cell_angle_alpha 90.00
_cell_angle_beta 90.00
_cell_angle_gamma 90.00
_space_group_name_H-M_alt 'P 4/m m m'
_space_group_IT_number 123
_space_group_name_Hall '-P 4 2'
loop_
_atom_site_label
_atom_site_type_symbol
_atom_site_fract_x
_atom_site_fract_y
_atom_site_fract_z
Cr1 Cr 0.000 0.000 0.166
Co1 Co 0.000 0.000 0.500
Pd1 Pd 0.000 0.500 0.000
Pd2 Pd 0.000 0.500 0.336
Pd3 Pd 0.500 0.500 0.168
Pd4 Pd 0.500 0.500 0.500


Entry 9:
# SrCa3Sn12 (PBE-GGA, relaxed)
# ΔE_f, eV per atom: -0.3777
# DOS(E_F), states/eV/cell: 10.362
# Energy, eV per atom: -3.86
data_SrCa3Sn12
_cell_length_a 4.790
_cell_length_b 4.790
_cell_length_c 19.145
_cell_angle_alpha 90.00
_cell_angle_beta 90.00
_cell_angle_gamma 90.00
_space_group_name_H-M_alt 'P 4/m m m'
_space_group_IT_number 123
_space_group_name_Hall '-P 4 2'
loop_
_atom_site_label
_atom_site_type_symbol
_atom_site_fract_x
_atom_site_fract_y
_atom_site_fract_z
Sr1 Sr 0.000 0.000 0.000
Ca1 Ca 0.000 0.000 0.253
Ca2 Ca 0.000 0.000 0.500
Sn1 Sn 0.000 0.500 0.129
Sn2 Sn 0.000 0.500 0.376
Sn3 Sn 0.500 0.500 0.000
Sn4 Sn 0.500 0.500 0.253
Sn5 Sn 0.500 0.500 0.500


Entry 10:
# NiPtCl2 (PBE-GGA, relaxed)
# Offset from the most stable computed form, eV/atom: 0.487
# DOS(E_F), states/eV/cell: 11.902
# Energy, eV per atom: -3.61
# Formation energy from raw total energies, eV/f.u.: 1.07
data_NiPtCl2
_cell_length_a 3.1608
_cell_length_b 3.1608
_cell_length_c 23.4127
_cell_angle_alpha 90.00
_cell_angle_beta 90.00
_cell_angle_gamma 120.00
_space_group_name_H-M_alt 'R -3 m'
_space_group_IT_number 166
_space_group_name_Hall '-R 3 2"'
loop_
_atom_site_label
_atom_site_type_symbol
_atom_site_fract_x
_atom_site_fract_y
_atom_site_fract_z
Ni1 Ni 0.0000 0.0000 0.0000
Pt1 Pt 0.0000 0.0000 0.5000
Cl1 Cl 0.0000 0.0000 0.2700


Entry 11:
# Be2CoNi2 (PBE-GGA, relaxed)
# ΔE_f, eV per atom: -0.2349
# Offset from the most stable computed form, eV/atom: 0.000
# DOS(E_F), states/eV/cell: 4.787
# Energy, eV per atom: -5.46
data_Be2CoNi2
_cell_length_a 6.134
_cell_length_b 6.134
_cell_length_c 2.514
_cell_angle_alpha 90.00
_cell_angle_beta 90.00
_cell_angle_gamma 90.00
_space_group_name_H-M_alt 'P 4/m b m'
_space_group_IT_number 127
_space_group_name_Hall '-P 4 2ab'
loop_
_atom_site_label
_atom_site_type_symbol
_atom_site_fract_x
_atom_site_fract_y
_atom_site_fract_z
Be1 Be 0.130 0.370 0.000
Co1 Co 0.000 0.000 0.000
Ni1 Ni 0.165 0.665 0.500


Entry 12:
# PrDy2PaN4 (PBE-GGA, relaxed)
# DOS(E_F), states/eV/cell: 3.588
# Energy, eV per atom: -8.69
# Formation energy from raw total energies, eV/f.u.: -12.73
data_PrDy2PaN4
_cell_length_a 6.073
_cell_length_b 3.541
_cell_length_c 6.138
_cell_angle_alpha 90.00
_cell_angle_beta 109.22
_cell_angle_gamma 90.00
_space_group_name_H-M_alt 'P 1 2/m 1'
_space_group_IT_number 10
loop_
_space_group_symop_operation_xyz
'x,y,z'
'-x,-y,-z'
'-x,y,-z'
'x,-y,z'
loop_
_atom_site_label
_atom_site_type_symbol
_atom_site_fract_x
_atom_site_fract_y
_atom_site_fract_z
Pr1 Pr 0.000 0.000 0.000
Dy1 Dy 0.500 0.000 0.500
Dy2 Dy 0.500 0.500 0.000
Pa1 Pa 0.000 0.500 0.500
N1 N 0.246 0.000 0.733
N2 N 0.249 0.500 0.276